Computed, not measured: a geometry-optimized MnIBrN2 structure at the PBEsol level of DFT.

Formation energy from raw total energies in eV/atom: 0.943
ρ in g/cm3: 6.08
Space group: P4/mmm

a = 3.792 Å, b = 3.792 Å, c = 5.503 Å
α = 90.00°, β = 90.00°, γ = 90.00°
Element x y z (fractional)
Br (0.500, 0.500, 0.500)
N (0.500, 0.000, 0.000)
I (0.000, 0.000, 0.500)
Mn (0.000, 0.000, 0.000)
N (0.000, 0.500, 0.000)

---

Computed, not measured: a geometry-optimized MnSiI2Br structure at the PBEsol level of DFT.

Formation energy from raw total energies in eV/atom: 0.388
ρ in g/cm3: 4.36
Space group: P4/mmm

a = 5.095 Å, b = 5.582 Å, c = 5.582 Å
α = 90.00°, β = 90.00°, γ = 90.00°
Each line ends with the local moment (μB).
Element x y z (fractional)
I (0.000, 0.500, 0.000)  0.07
Mn (0.500, 0.500, 0.500)  4.86
Br (0.500, 0.000, 0.000)  0.03
Si (0.000, 0.000, 0.000)  0.02
I (0.000, 0.000, 0.500)  0.07